The following is a DFT calculation (GGA-PBE) of a relaxed Ac2Ga2S5 crystal.

Output
E_form (uncorrected)   -11.8 eV/f.u.
Total DFT energy (no corrections)   -46.70 eV per formula unit

Geometry as POSCAR:
```
Ac2Ga2S5
1.0
4.9599 0.0000 0.0000
-2.4800 7.0520 -1.1937
0.0000 -2.1108 6.9962
Ga S Ac
2 5 2
direct
0.8423 0.6845 0.1126
0.1577 0.3155 0.8874
0.1599 0.3197 0.5513
0.6423 0.2847 0.9070
0.8401 0.6803 0.4487
0.0000 0.0000 0.0000
0.3577 0.7153 0.0930
0.6099 0.2198 0.2904
0.3901 0.7802 0.7096
```